First-principles (SCAN) data for a crystal of InIrPb3 relaxed with PBEsol, as listed in the Alexandria database.

Output
DFT formation energy	283	meV per atom
density of states at the Fermi level	2.91	states/eV/cell
electronic total energy	-66.08	eV/atom

Cell lengths 5.2690, 5.2690, 5.2690 Å; angles 90.00, 90.00, 90.00 degrees
Atoms (fractional coordinates):
Pb: 0.0000 0.5000 0.0000
Pb: 0.0000 0.0000 0.5000
Pb: 0.5000 0.0000 0.0000
Ir: 0.0000 0.0000 0.0000
In: 0.5000 0.5000 0.5000